(1)
## CsCuTeWSe2 (PBE)

Data for a relaxed CsCuTeWSe2 crystal.

```
CsCuTeWSe2
1.0
1.979 -8.429 0.000
1.979 8.429 0.000
0.000 0.000 10.258
W Se Cu Cs Te
2 4 2 2 2
direct
0.000 0.000 0.000 W
0.000 0.000 0.500 W
0.598 0.402 0.050 Se
0.598 0.402 0.450 Se
0.402 0.598 0.550 Se
0.402 0.598 0.950 Se
0.475 0.525 0.750 Cu
0.525 0.475 0.250 Cu
0.228 0.772 0.250 Cs
0.772 0.228 0.750 Cs
0.925 0.075 0.250 Te
0.075 0.925 0.750 Te
```

Output
raw total energy	-4.918	eV per atom
spin magnetization	3.949	Bohr magnetons per cell

=====

(2)
## Sr2ZnHgS2O2 (PBE)

Data for a relaxed Sr2ZnHgS2O2 crystal.

```
Sr2ZnHgS2O2
1.0
3.987 0.000 0.000
-1.993 3.452 0.000
0.000 0.000 12.057
Hg O S Sr Zn
1 2 2 2 1
direct
0.000 0.000 0.001 Hg
0.000 0.000 0.343 O
0.000 0.000 0.819 O
0.667 0.333 0.572 S
0.333 0.667 0.100 S
0.667 0.333 0.281 Sr
0.333 0.667 0.758 Sr
0.000 0.000 0.501 Zn
```

Output
raw total energy	-4.500	eV per atom

=====

(3)
## NbTlB (PBE)

Data for a relaxed NbTlB crystal.

```
NbTlB
1.0
3.945 -1.171 0.017
2.400 0.903 3.218
1.248 -2.988 2.539
B Tl Nb
1 1 1
direct
0.000 0.000 0.000 B
0.750 0.750 0.750 Tl
0.250 0.250 0.250 Nb
```

Output
raw total energy	-5.509	eV per atom
spin magnetization	0.601	Bohr magnetons per cell
ΔE to the lowest computed polymorph	0	kJ/mol of formula units

=====

(4)
## Si2Tc (PBE)

Data for a relaxed Si2Tc crystal.

```
Si2Tc
1.0
2.120 2.737 3.324
-1.827 4.303 1.087
-2.127 0.701 4.244
Si Tc
4 2
direct
0.625 0.625 0.125 Si
0.625 0.625 0.625 Si
0.625 0.125 0.625 Si
0.125 0.625 0.625 Si
0.250 0.250 0.250 Tc
0.000 0.000 0.000 Tc
```

Output
raw total energy	-6.639	eV per atom
spin magnetization	0.016	Bohr magnetons per cell

=====

(5)
## AgBi2 (PBE)

Data for a relaxed AgBi2 crystal.

```
AgBi2
1.0
0.000 3.415 0.000
3.415 0.000 0.000
-1.708 -1.708 -6.881
Bi Ag
2 1
direct
0.647 0.647 0.295 Bi
0.353 0.353 0.705 Bi
0.000 0.000 0.000 Ag
```

Output
raw total energy	-3.529	eV per atom
ΔE to the lowest computed polymorph	9	kJ/mol of formula units

=====

(6)
## FeAsIrPd (PBE)

Data for a relaxed FeAsIrPd crystal.

```
FeAsIrPd
1.0
0.000 3.070 3.070
3.070 0.000 3.070
3.070 3.070 0.000
Ir Pd Fe As
1 1 1 1
direct
0.250 0.250 0.250 Ir
0.500 0.500 0.500 Pd
0.750 0.750 0.750 Fe
0.000 0.000 0.000 As
```

Output
raw total energy	-6.645	eV per atom
spin magnetization	2.796	Bohr magnetons per cell
ΔE to the lowest computed polymorph	0	kJ/mol of formula units

=====

(7)
## TlAuSeO (PBE)

Data for a relaxed TlAuSeO crystal.

```
TlAuSeO
1.0
4.586 0.000 0.000
0.000 4.586 0.000
0.000 0.000 8.761
O Tl Se Au
2 2 2 2
direct
0.250 0.750 0.000 O
0.750 0.250 0.000 O
0.250 0.750 0.500 Tl
0.750 0.250 0.500 Tl
0.750 0.750 0.293 Se
0.250 0.250 0.707 Se
0.750 0.750 0.987 Au
0.250 0.250 0.013 Au
```

Output
raw total energy	-3.294	eV per atom
ΔE to the lowest computed polymorph	203	kJ/mol of formula units

=====

(8)
## Dy2In2O5 (PBE)

Data for a relaxed Dy2In2O5 crystal.

```
Dy2In2O5
1.0
7.045 0.000 0.000
0.000 4.173 0.000
0.000 0.000 4.173
Dy O In
2 5 2
direct
0.500 0.000 0.000 Dy
0.000 0.000 0.000 Dy
0.761 0.500 0.000 O
0.500 0.500 0.500 O
0.239 0.000 0.500 O
0.761 0.000 0.500 O
0.239 0.500 0.000 O
0.799 0.500 0.500 In
0.201 0.500 0.500 In
```

Output
raw total energy	-6.229	eV per atom
spin magnetization	0.001	Bohr magnetons per cell
ΔE to the lowest computed polymorph	342	kJ/mol of formula units

=====

(9)
## CuAsPb (PBE)

Data for a relaxed CuAsPb crystal.

```
CuAsPb
1.0
-2.677 3.327 -0.492
-4.749 -4.196 -2.538
-3.421 -1.452 8.803
Pb As Cu
4 4 4
direct
0.750 0.593 0.641 Pb
0.750 0.907 0.141 Pb
0.250 0.093 0.859 Pb
0.250 0.407 0.359 Pb
0.750 0.168 0.654 As
0.750 0.332 0.154 As
0.250 0.832 0.346 As
0.250 0.668 0.846 As
0.250 0.062 0.549 Cu
0.750 0.938 0.451 Cu
0.750 0.562 0.951 Cu
0.250 0.438 0.049 Cu
```

Output
raw total energy	-4.000	eV per atom
ΔE to the lowest computed polymorph	13	kJ/mol of formula units

=====

(10)
## TbGdU (PBE)

Data for a relaxed TbGdU crystal.

```
TbGdU
1.0
5.091 -1.271 0.517
1.697 -2.347 4.406
1.479 -5.059 -0.110
Tb U Gd
1 1 1
direct
0.750 0.750 0.750 Tb
0.000 0.000 0.000 U
0.250 0.250 0.250 Gd
```

Output
calculated formation energy	3.86	eV per formula unit
raw total energy	-5.572	eV per atom
spin magnetization	4.314	Bohr magnetons per cell

=====

(11)
## AcNpAu (PBE)

Data for a relaxed AcNpAu crystal.

```
AcNpAu
1.0
-3.597 0.748 3.324
-4.737 -0.698 -1.276
-2.518 -3.853 1.835
Np Ac Au
1 1 1
direct
0.750 0.750 0.750 Np
0.000 0.000 0.000 Ac
0.250 0.250 0.250 Au
```

Output
calculated formation energy	1.98	eV per formula unit
raw total energy	-6.053	eV per atom
spin magnetization	4.663	Bohr magnetons per cell

=====

(12)
## Tb2TmIn3CuAg2 (PBE)

Data for a relaxed Tb2TmIn3CuAg2 crystal.

```
Tb2TmIn3CuAg2
1.0
-0.545 2.865 -2.554
-4.907 3.454 4.922
7.571 1.681 0.272
In Cu Ag Tb Tm
3 1 2 2 1
direct
0.500 0.749 0.749 In
0.500 0.251 0.001 In
0.500 0.001 0.251 In
0.000 0.000 0.000 Cu
0.500 0.334 0.666 Ag
0.500 0.666 0.334 Ag
0.000 0.000 0.598 Tb
0.000 0.598 0.000 Tb
0.000 0.402 0.402 Tm
```

Output
raw total energy	-3.909	eV per atom
spin magnetization	0.003	Bohr magnetons per cell

=====

(13)
## DyY2Al7Ag2 (PBE)

Data for a relaxed DyY2Al7Ag2 crystal.

```
DyY2Al7Ag2
1.0
7.077 -0.441 6.092
9.198 -1.312 1.037
8.070 3.856 2.721
Al Ag Y Dy
7 2 2 1
direct
0.588 0.076 0.588 Al
0.588 0.588 0.076 Al
0.076 0.588 0.588 Al
0.412 0.412 0.924 Al
0.500 0.500 0.500 Al
0.412 0.924 0.412 Al
0.924 0.412 0.412 Al
0.336 0.336 0.336 Ag
0.664 0.664 0.664 Ag
0.858 0.858 0.858 Y
0.142 0.142 0.142 Y
0.000 0.000 0.000 Dy
```

Output
raw total energy	-4.578	eV per atom
spin magnetization	0.000	Bohr magnetons per cell

=====

(14)
## TmMgAgTe2Se (PBE)

Data for a relaxed TmMgAgTe2Se crystal.

```
TmMgAgTe2Se
1.0
2.054 -6.970 0.000
2.054 6.970 0.000
0.000 0.000 10.836
Te Se Mg Ag Tm
4 2 2 2 2
direct
0.152 0.848 0.066 Te
0.848 0.152 0.934 Te
0.152 0.848 0.434 Te
0.848 0.152 0.566 Te
0.608 0.392 0.750 Se
0.392 0.608 0.250 Se
0.246 0.754 0.750 Mg
0.754 0.246 0.250 Mg
0.984 0.016 0.750 Ag
0.016 0.984 0.250 Ag
0.500 0.500 0.000 Tm
0.500 0.500 0.500 Tm
```

Output
raw total energy	-3.927	eV per atom
spin magnetization	0.008	Bohr magnetons per cell

=====

(15)
## Nd2AlOs3 (PBE)

Data for a relaxed Nd2AlOs3 crystal.

```
Nd2AlOs3
1.0
-4.140 -3.529 -0.602
2.906 0.044 4.638
-5.556 5.935 3.425
Os Nd Al
6 4 2
direct
0.660 0.830 0.750 Os
0.830 0.660 0.250 Os
0.170 0.830 0.750 Os
0.340 0.170 0.250 Os
0.170 0.340 0.750 Os
0.830 0.170 0.250 Os
0.667 0.333 0.569 Nd
0.333 0.667 0.431 Nd
0.667 0.333 0.931 Nd
0.333 0.667 0.069 Nd
0.000 0.000 0.500 Al
0.000 0.000 0.000 Al
```

Output
raw total energy	-8.048	eV per atom
spin magnetization	0.127	Bohr magnetons per cell

=====

(16)
## NdYAu (PBE)

Data for a relaxed NdYAu crystal.

```
NdYAu
1.0
0.000 3.486 3.486
3.486 0.000 3.486
3.486 3.486 0.000
Au Y Nd
1 1 1
direct
0.250 0.250 0.250 Au
0.000 0.000 0.000 Y
0.750 0.750 0.750 Nd
```

Output
calculated formation energy	0.32	eV per formula unit
raw total energy	-4.725	eV per atom
spin magnetization	0.004	Bohr magnetons per cell
ΔE to the lowest computed polymorph	0	kJ/mol of formula units

=====

(17)
## SrLiPrS3 (PBE)

Data for a relaxed SrLiPrS3 crystal.

```
SrLiPrS3
1.0
-5.733 2.899 2.363
2.754 -3.713 -5.048
-2.361 -9.038 5.360
Pr S Sr Li
2 6 2 2
direct
0.000 0.000 0.500 Pr
0.000 0.000 0.000 Pr
0.919 0.081 0.250 S
0.363 0.637 0.922 S
0.637 0.363 0.078 S
0.363 0.637 0.578 S
0.637 0.363 0.422 S
0.081 0.919 0.750 S
0.248 0.752 0.250 Sr
0.752 0.248 0.750 Sr
0.478 0.522 0.750 Li
0.522 0.478 0.250 Li
```

Output
raw total energy	-5.340	eV per atom
spin magnetization	0.004	Bohr magnetons per cell
ΔE to the lowest computed polymorph	8	kJ/mol of formula units

=====

(18)
## NdMoAs (PBE)

Data for a relaxed NdMoAs crystal.

```
NdMoAs
1.0
0.000 3.260 3.260
3.260 0.000 3.260
3.260 3.260 0.000
Mo As Nd
1 1 1
direct
0.250 0.250 0.250 Mo
0.000 0.000 0.000 As
0.750 0.750 0.750 Nd
```

Output
raw total energy	-6.713	eV per atom
spin magnetization	0.029	Bohr magnetons per cell

=====

(19)
## NbReNiSn (PBE)

Data for a relaxed NbReNiSn crystal.

```
NbReNiSn
1.0
0.904 2.139 3.863
1.266 4.325 -0.062
-2.799 3.190 1.518
Ni Sn Nb Re
1 1 1 1
direct
0.750 0.750 0.750 Ni
0.000 0.000 0.000 Sn
0.250 0.250 0.250 Nb
0.500 0.500 0.500 Re
```

Output
raw total energy	-7.747	eV per atom
spin magnetization	0.415	Bohr magnetons per cell

=====

(20)
## LiZnPO4 (PBE)

Data for a relaxed LiZnPO4 crystal.

```
LiZnPO4
1.0
8.589 -4.853 0.000
8.589 4.853 0.000
-6.108 0.000 15.861
P O Zn Li
16 64 16 16
direct
0.463 0.397 0.224 P
0.467 0.897 0.224 P
0.581 0.149 0.973 P
0.713 0.082 0.475 P
0.082 0.713 0.975 P
0.967 0.836 0.222 P
0.897 0.467 0.724 P
0.836 0.967 0.722 P
0.397 0.463 0.724 P
0.081 0.211 0.975 P
0.649 0.584 0.473 P
0.335 0.965 0.723 P
0.584 0.649 0.973 P
0.149 0.581 0.473 P
0.211 0.081 0.475 P
0.965 0.335 0.223 P
0.564 0.010 0.987 O
0.255 0.635 0.739 O
0.637 0.753 0.240 O
0.568 0.510 0.986 O
0.447 0.385 0.802 O
0.061 0.384 0.992 O
0.635 0.255 0.239 O
0.355 0.848 0.148 O
0.663 0.987 0.703 O
0.921 0.852 0.647 O
0.063 0.885 0.991 O
0.158 0.105 0.896 O
0.479 0.535 0.210 O
0.938 0.889 0.802 O
0.634 0.192 0.553 O
0.389 0.951 0.302 O
0.987 0.663 0.203 O
0.599 0.669 0.398 O
0.485 0.033 0.209 O
0.411 0.293 0.957 O
0.884 0.438 0.301 O
0.852 0.420 0.147 O
0.914 0.722 0.957 O
0.885 0.063 0.491 O
0.753 0.637 0.740 O
0.848 0.355 0.648 O
0.010 0.564 0.487 O
0.889 0.938 0.302 O
0.669 0.599 0.898 O
0.347 0.353 0.647 O
0.135 0.826 0.240 O
0.132 0.196 0.552 O
0.033 0.485 0.709 O
0.722 0.914 0.457 O
0.604 0.165 0.398 O
0.420 0.852 0.647 O
0.384 0.061 0.492 O
0.510 0.568 0.486 O
0.826 0.135 0.740 O
0.105 0.158 0.396 O
0.659 0.098 0.896 O
0.196 0.132 0.052 O
0.133 0.325 0.240 O
0.385 0.447 0.302 O
0.325 0.133 0.740 O
0.412 0.790 0.955 O
0.535 0.479 0.710 O
0.852 0.921 0.147 O
0.293 0.411 0.457 O
0.914 0.219 0.958 O
0.790 0.412 0.455 O
0.165 0.604 0.898 O
0.098 0.659 0.396 O
0.689 0.700 0.053 O
0.438 0.884 0.801 O
0.692 0.195 0.051 O
0.951 0.389 0.802 O
0.162 0.986 0.704 O
0.192 0.634 0.053 O
0.219 0.914 0.458 O
0.353 0.347 0.147 O
0.195 0.692 0.551 O
0.986 0.162 0.204 O
0.700 0.689 0.553 O
0.083 0.657 0.785 Zn
0.657 0.083 0.285 Zn
0.763 0.337 0.036 Zn
0.527 0.151 0.786 Zn
0.403 0.262 0.536 Zn
0.582 0.653 0.785 Zn
0.155 0.026 0.285 Zn
0.901 0.265 0.536 Zn
0.653 0.582 0.285 Zn
0.764 0.837 0.036 Zn
0.337 0.763 0.536 Zn
0.262 0.403 0.036 Zn
0.837 0.764 0.536 Zn
0.265 0.901 0.036 Zn
0.151 0.527 0.286 Zn
0.026 0.155 0.785 Zn
0.901 0.519 0.911 Li
0.206 0.286 0.662 Li
0.708 0.285 0.662 Li
0.964 0.389 0.412 Li
0.463 0.395 0.413 Li
0.892 0.020 0.911 Li
0.645 0.787 0.662 Li
0.395 0.463 0.913 Li
0.785 0.145 0.161 Li
0.020 0.892 0.411 Li
0.787 0.645 0.162 Li
0.389 0.964 0.912 Li
0.145 0.785 0.661 Li
0.286 0.206 0.162 Li
0.519 0.901 0.411 Li
0.285 0.708 0.162 Li
```

Output
raw total energy	-6.196	eV per atom
ΔE to the lowest computed polymorph	0	kJ/mol of formula units